# PBE La3Zn5Pd6, optimized geometry
data_La3Zn5Pd6
_cell_length_a 4.4816
_cell_length_b 13.0837
_cell_length_c 9.2611
_cell_angle_alpha 90.00
_cell_angle_beta 90.00
_cell_angle_gamma 90.00
_symmetry_space_group_name_H-M 'P 1'
_symmetry_Int_Tables_number 1
_symmetry_space_group_name_Hall 'P 1'
loop_
_atom_site_label
_atom_site_fract_x
_atom_site_fract_y
_atom_site_fract_z
La1 0.2500 0.0502 0.2501
La2 0.2500 0.4498 0.2501
La3 0.2500 0.7500 0.2335
La4 0.7500 0.2500 0.7665
La5 0.7500 0.5502 0.7499
La6 0.7500 0.9498 0.7499
Zn1 0.2500 0.0836 0.9029
Zn2 0.2500 0.4164 0.9029
Zn3 0.2500 0.6250 0.5230
Zn4 0.2500 0.7500 0.7457
Zn5 0.2500 0.8750 0.5230
Zn6 0.7500 0.1250 0.4770
Zn7 0.7500 0.2500 0.2543
Zn8 0.7500 0.3750 0.4770
Zn9 0.7500 0.5836 0.0971
Zn10 0.7500 0.9164 0.0971
Pd1 0.2500 0.0743 0.6162
Pd2 0.2500 0.2500 0.0779
Pd3 0.2500 0.2500 0.4334
Pd4 0.2500 0.4257 0.6162
Pd5 0.2500 0.6227 0.9649
Pd6 0.2500 0.8773 0.9649
Pd7 0.7500 0.1227 0.0351
Pd8 0.7500 0.3773 0.0351
Pd9 0.7500 0.5743 0.3838
Pd10 0.7500 0.7500 0.5666
Pd11 0.7500 0.7500 0.9221
Pd12 0.7500 0.9257 0.3838
# calculated formation energy = -671 meV per atom
# crystal system = orthorhombic
# DFT total energy = -123.404 eV for the cell shown
# DOS(E_F) = 0.486 states/eV/atom


# PBE LaZn6Pd2, optimized geometry
data_LaZn6Pd2
_cell_length_a 7.1999
_cell_length_b 7.1999
_cell_length_c 7.1999
_cell_angle_alpha 147.54
_cell_angle_beta 123.58
_cell_angle_gamma 66.62
_symmetry_space_group_name_H-M 'P 1'
_symmetry_Int_Tables_number 1
_symmetry_space_group_name_Hall 'P 1'
loop_
_atom_site_label
_atom_site_fract_x
_atom_site_fract_y
_atom_site_fract_z
La1 0.0000 0.0000 0.0000
Zn1 0.0076 0.3086 0.6990
Zn2 0.3272 0.5000 0.8272
Zn3 0.3904 0.6914 0.6990
Zn4 0.6096 0.3086 0.3010
Zn5 0.6728 0.5000 0.1728
Zn6 0.9924 0.6914 0.3010
Pd1 0.3787 0.8787 0.5000
Pd2 0.6213 0.1213 0.5000
# calculated formation energy = -292 meV per atom
# crystal system = orthorhombic
# DFT total energy = -25.582 eV for the cell shown
# DOS(E_F) = 0.438 states/eV/atom